# 1
# SrSbOs4 | Alexandria | GGA-PBEsol | relaxed
data_SrSbOs4
_chemical_formula_sum 'Sr1 Sb1 Os4'
_symmetry_space_group_name_H-M 'P 1'
_symmetry_Int_Tables_number 1
_symmetry_space_group_name_Hall 'P 1'
_cell_length_a 5.329
_cell_length_b 5.329
_cell_length_c 5.329
_cell_angle_alpha 60.00
_cell_angle_beta 60.00
_cell_angle_gamma 60.00
loop_
_atom_site_label
_atom_site_type_symbol
_atom_site_fract_x
_atom_site_fract_y
_atom_site_fract_z
Sr1 Sr 0.000 0.000 0.000
Sb1 Sb 0.250 0.250 0.250
Os1 Os 0.127 0.624 0.624
Os2 Os 0.624 0.127 0.624
Os3 Os 0.624 0.624 0.127
Os4 Os 0.624 0.624 0.624
# Space group: No. 216
# Calculated total energy, eV/atom: -8.5650
# Raw formation energy, eV per atom: 0.645



# 2
# NaLiY2F8 | Alexandria | GGA-PBEsol | relaxed
data_NaLiY2F8
_chemical_formula_sum 'Na2 Li2 Y4 F16'
_symmetry_space_group_name_H-M 'P 1'
_symmetry_Int_Tables_number 1
_symmetry_space_group_name_Hall 'P 1'
_cell_length_a 6.638
_cell_length_b 6.638
_cell_length_c 6.997
_cell_angle_alpha 90.00
_cell_angle_beta 90.00
_cell_angle_gamma 76.92
loop_
_atom_site_label
_atom_site_type_symbol
_atom_site_fract_x
_atom_site_fract_y
_atom_site_fract_z
Na1 Na 0.159 0.841 0.750
Na2 Na 0.841 0.159 0.250
Li1 Li 0.500 0.500 0.000
Li2 Li 0.500 0.500 0.500
Y1 Y 0.049 0.577 0.250
Y2 Y 0.423 0.951 0.250
Y3 Y 0.577 0.049 0.750
Y4 Y 0.951 0.423 0.750
F1 F 0.108 0.892 0.250
F2 F 0.163 0.563 0.551
F3 F 0.163 0.563 0.949
F4 F 0.190 0.246 0.250
F5 F 0.246 0.190 0.750
F6 F 0.413 0.587 0.250
F7 F 0.437 0.837 0.551
F8 F 0.437 0.837 0.949
F9 F 0.563 0.163 0.051
F10 F 0.563 0.163 0.449
F11 F 0.587 0.413 0.750
F12 F 0.754 0.810 0.250
F13 F 0.810 0.754 0.750
F14 F 0.837 0.437 0.051
F15 F 0.837 0.437 0.449
F16 F 0.892 0.108 0.750
# Space group: No. 63
# Calculated total energy, eV/atom: -6.4605
# Raw formation energy, eV per atom: -3.758



# 3
# BaAsPt2 | Alexandria | GGA-PBEsol | relaxed
data_BaAsPt2
_chemical_formula_sum 'Ba2 As2 Pt4'
_symmetry_space_group_name_H-M 'P 1'
_symmetry_Int_Tables_number 1
_symmetry_space_group_name_Hall 'P 1'
_cell_length_a 8.937
_cell_length_b 3.946
_cell_length_c 5.632
_cell_angle_alpha 90.00
_cell_angle_beta 108.42
_cell_angle_gamma 90.00
loop_
_atom_site_label
_atom_site_type_symbol
_atom_site_fract_x
_atom_site_fract_y
_atom_site_fract_z
Ba1 Ba 0.000 0.000 0.000
Ba2 Ba 0.500 0.500 0.000
As1 As 0.290 0.500 0.405
As2 As 0.790 0.000 0.405
Pt1 Pt 0.209 0.000 0.588
Pt2 Pt 0.499 0.000 0.525
Pt3 Pt 0.709 0.500 0.588
Pt4 Pt 0.999 0.500 0.525
# Space group: No. 8
# E_form, eV/atom: -0.655
# Calculated total energy, eV/atom: -5.9503



# 4
# CrP | Alexandria | GGA-PBEsol | relaxed
data_CrP
_chemical_formula_sum 'Cr8 P8'
_symmetry_space_group_name_H-M 'P 1'
_symmetry_Int_Tables_number 1
_symmetry_space_group_name_Hall 'P 1'
_cell_length_a 5.686
_cell_length_b 5.686
_cell_length_c 5.686
_cell_angle_alpha 90.00
_cell_angle_beta 90.00
_cell_angle_gamma 90.00
loop_
_atom_site_label
_atom_site_type_symbol
_atom_site_fract_x
_atom_site_fract_y
_atom_site_fract_z
Cr1 Cr 0.125 0.125 0.125
Cr2 Cr 0.125 0.625 0.625
Cr3 Cr 0.375 0.375 0.875
Cr4 Cr 0.375 0.875 0.375
Cr5 Cr 0.625 0.125 0.625
Cr6 Cr 0.625 0.625 0.125
Cr7 Cr 0.875 0.375 0.375
Cr8 Cr 0.875 0.875 0.875
P1 P 0.125 0.125 0.625
P2 P 0.125 0.625 0.125
P3 P 0.375 0.375 0.375
P4 P 0.375 0.875 0.875
P5 P 0.625 0.125 0.125
P6 P 0.625 0.625 0.625
P7 P 0.875 0.375 0.875
P8 P 0.875 0.875 0.375
# Space group: No. 227
# E_form, eV/atom: 0.151
# Calculated total energy, eV/atom: -7.8652



# 5
# Mg2BrO | Alexandria | GGA-PBEsol | relaxed
data_Mg2BrO
_chemical_formula_sum 'Mg8 Br4 O4'
_symmetry_space_group_name_H-M 'P 1'
_symmetry_Int_Tables_number 1
_symmetry_space_group_name_Hall 'P 1'
_cell_length_a 5.633
_cell_length_b 5.633
_cell_length_c 10.007
_cell_angle_alpha 90.00
_cell_angle_beta 90.00
_cell_angle_gamma 90.00
loop_
_atom_site_label
_atom_site_type_symbol
_atom_site_fract_x
_atom_site_fract_y
_atom_site_fract_z
Mg1 Mg 0.128 0.250 0.125
Mg2 Mg 0.250 0.628 0.375
Mg3 Mg 0.250 0.872 0.875
Mg4 Mg 0.372 0.250 0.625
Mg5 Mg 0.628 0.750 0.625
Mg6 Mg 0.750 0.128 0.875
Mg7 Mg 0.750 0.372 0.375
Mg8 Mg 0.872 0.750 0.125
Br1 Br 0.000 0.000 0.500
Br2 Br 0.000 0.500 0.750
Br3 Br 0.500 0.000 0.250
Br4 Br 0.500 0.500 0.000
O1 O 0.000 0.000 0.000
O2 O 0.000 0.500 0.250
O3 O 0.500 0.000 0.750
O4 O 0.500 0.500 0.500
# Space group: No. 122
# Calculated total energy, eV/atom: -4.1438
# Raw formation energy, eV per atom: -1.505



# 6
# Na3BePd | Alexandria | GGA-PBEsol | relaxed
data_Na3BePd
_chemical_formula_sum 'Na3 Be1 Pd1'
_symmetry_space_group_name_H-M 'P 1'
_symmetry_Int_Tables_number 1
_symmetry_space_group_name_Hall 'P 1'
_cell_length_a 5.309
_cell_length_b 5.309
_cell_length_c 5.309
_cell_angle_alpha 90.00
_cell_angle_beta 90.00
_cell_angle_gamma 90.00
loop_
_atom_site_label
_atom_site_type_symbol
_atom_site_fract_x
_atom_site_fract_y
_atom_site_fract_z
Na1 Na 0.000 0.000 0.500
Na2 Na 0.000 0.500 0.000
Na3 Na 0.500 0.000 0.000
Be1 Be 0.500 0.500 0.500
Pd1 Pd 0.000 0.000 0.000
# Space group: No. 221
# E_form, eV/atom: 0.754
# Calculated total energy, eV/atom: -2.0775



# 7
# BaY2Te | Alexandria | GGA-PBEsol | relaxed
data_BaY2Te
_chemical_formula_sum 'Ba1 Y2 Te1'
_symmetry_space_group_name_H-M 'P 1'
_symmetry_Int_Tables_number 1
_symmetry_space_group_name_Hall 'P 1'
_cell_length_a 3.984
_cell_length_b 3.984
_cell_length_c 8.547
_cell_angle_alpha 90.00
_cell_angle_beta 90.00
_cell_angle_gamma 90.00
loop_
_atom_site_label
_atom_site_type_symbol
_atom_site_fract_x
_atom_site_fract_y
_atom_site_fract_z
Ba1 Ba 0.000 0.000 0.000
Y1 Y 0.000 0.000 0.438
Y2 Y 0.500 0.500 0.669
Te1 Te 0.500 0.500 0.282
# Space group: No. 99
# Calculated total energy, eV/atom: -5.4633
# Raw formation energy, eV per atom: -0.633



# 8
# CaCuSe2 | Alexandria | GGA-PBEsol | relaxed
data_CaCuSe2
_chemical_formula_sum 'Ca2 Cu2 Se4'
_symmetry_space_group_name_H-M 'P 1'
_symmetry_Int_Tables_number 1
_symmetry_space_group_name_Hall 'P 1'
_cell_length_a 11.267
_cell_length_b 3.905
_cell_length_c 4.328
_cell_angle_alpha 90.00
_cell_angle_beta 99.14
_cell_angle_gamma 90.00
loop_
_atom_site_label
_atom_site_type_symbol
_atom_site_fract_x
_atom_site_fract_y
_atom_site_fract_z
Ca1 Ca 0.000 0.000 0.000
Ca2 Ca 0.500 0.500 0.000
Cu1 Cu 0.287 0.000 0.201
Cu2 Cu 0.787 0.500 0.201
Se1 Se 0.221 0.500 0.955
Se2 Se 0.476 0.000 0.492
Se3 Se 0.721 0.000 0.955
Se4 Se 0.976 0.500 0.492
# Space group: No. 8
# Calculated total energy, eV/atom: -4.4126
# Raw formation energy, eV per atom: -0.871